Crystalline YCoRuI2 at its relaxed geometry. Source: Alexandria, functional PBE.

total magnetization	0.00	μB per cell
raw total energy	-4.76	eV/atom
volume	23.43	Å³/atom
formation energy without anion corrections	425	meV per atom

Cell: 5.0752 5.0752 4.5473 Å, 90.00 90.00 90.00°
Space group P4/mmm (No. 123)
Symmetry-distinct sites (fractional):
Y 0.0000 0.0000 0.0000
Co 0.5000 0.5000 0.5000
Ru 0.5000 0.5000 0.0000
I 0.0000 0.5000 0.5000

Crystalline CoSI at its relaxed geometry. Source: Alexandria, functional PBE.

total magnetization	0.00	μB per cell
raw total energy	-4.50	eV/atom
volume	24.08	Å³/atom
formation energy without anion corrections	-241	meV per atom
energy above the most stable polymorph in this dataset	0.00	eV per formula unit

Cell: 3.5553 4.3896 9.2575 Å, 90.00 90.00 90.00°
Space group Pmmn (No. 59, origin choice 2)
Symmetry-distinct sites (fractional):
Co 0.2500 0.2500 0.1072
S 0.2500 0.7500 0.0441
I 0.2500 0.7500 0.6893

Crystalline CoSI at its relaxed geometry. Source: Alexandria, functional PBE.

total magnetization	0.00	μB per cell
raw total energy	-4.33	eV/atom
volume	21.73	Å³/atom
formation energy without anion corrections	-64	meV per atom
energy above the most stable polymorph in this dataset	0.53	eV per formula unit

Cell: 6.1239 3.5348 6.3500 Å, 90.00 108.43 90.00°
Space group Cm (No. 8)
Symmetry-distinct sites (fractional):
Co 0.0000 0.0000 0.0000
S 0.2232 0.5000 0.1722
I 0.2440 0.0000 0.7276

Crystalline CoSI2 at its relaxed geometry. Source: Alexandria, functional PBE.

total magnetization	3.90	μB per cell
raw total energy	-3.02	eV/atom
volume	28.57	Å³/atom
formation energy without anion corrections	564	meV per atom
energy above the most stable polymorph in this dataset	0.00	eV per formula unit

Cell: 6.9665 6.9665 9.4177 Å, 90.00 90.00 90.00°
Space group I-42d (No. 122)
Symmetry-distinct sites (fractional):
Co 0.0000 0.0000 0.0000
S 0.0000 0.0000 0.5000
I 0.1922 0.2500 0.1250